1.
Below is a relaxed structure of YGa4Ni2Ru, with properties calculated at the PBE-GGA level.

Cell: 9.1278 9.1278 9.1278 Å, 25.97 25.97 25.97°
Positions (direct):
Y (0.0000, 0.0000, 0.0000)
Ga (0.1299, 0.1299, 0.1299)
Ga (0.4018, 0.4018, 0.4018)
Ga (0.5982, 0.5982, 0.5982)
Ga (0.8701, 0.8701, 0.8701)
Ni (0.2330, 0.2330, 0.2330)
Ni (0.7670, 0.7670, 0.7670)
Ru (0.5000, 0.5000, 0.5000)

VASP energy, eV/atom: -5.380
Crystal system: trigonal
Formation energy, eV per atom: -0.45
V, Å³/atom: 16.055
Space group: R-3m, No. 166

=====

2.
Below is a relaxed structure of BeTl2HSe2, with properties calculated at the PBE-GGA level.

Cell: 7.7141 7.7141 7.7141 Å, 109.20 86.75 136.70°
Positions (direct):
Be (0.2500, 0.2500, 0.0000)
Be (0.7500, 0.7500, 0.0000)
Tl (0.1126, 0.6502, 0.7628)
Tl (0.3874, 0.1502, 0.5376)
Tl (0.6126, 0.8498, 0.4624)
Tl (0.8874, 0.3498, 0.2372)
H (0.2500, 0.7500, 0.5000)
H (0.7500, 0.2500, 0.5000)
Se (0.1089, 0.1438, 0.2528)
Se (0.3911, 0.6438, 0.0349)
Se (0.6089, 0.3562, 0.9651)
Se (0.8911, 0.8562, 0.7472)

VASP energy, eV/atom: -3.339
Crystal system: orthorhombic
V, Å³/atom: 23.769
Space group: Ibam, No. 72

=====

3.
Below is a relaxed structure of Ba2TlIn4Hg3, with properties calculated at the PBE-GGA level.

Cell: 5.0474 5.0474 12.0813 Å, 90.00 90.00 90.00°
Positions (direct):
Ba (0.0000, 0.5000, 0.2500)
Ba (0.5000, 0.0000, 0.7500)
Tl (0.0000, 0.0000, 0.5000)
In (0.0000, 0.0000, 0.0000)
In (0.0000, 0.5000, 0.6349)
In (0.5000, 0.0000, 0.3651)
In (0.5000, 0.5000, 0.0000)
Hg (0.0000, 0.5000, 0.8689)
Hg (0.5000, 0.0000, 0.1311)
Hg (0.5000, 0.5000, 0.5000)

VASP energy, eV/atom: -2.157
Crystal system: tetragonal
Formation energy, eV per atom: -0.35
V, Å³/atom: 30.779
Space group: P-4m2, No. 115

=====

4.
Below is a relaxed structure of Ce7Hg5Pb, with properties calculated at the PBE-GGA level.

Cell: 8.2890 8.2890 8.2890 Å, 136.57 102.04 93.74°
Positions (direct):
Ce (0.0000, 0.0000, 0.0000)
Ce (0.2362, 0.2362, 0.0000)
Ce (0.2727, 0.6059, 0.6668)
Ce (0.4252, 0.0939, 0.3313)
Ce (0.7626, 0.0939, 0.6687)
Ce (0.7791, 0.2791, 0.5000)
Ce (0.9390, 0.6059, 0.3332)
Hg (0.0989, 0.1030, 0.4926)
Hg (0.0989, 0.6063, 0.9960)
Hg (0.3485, 0.8485, 0.5000)
Hg (0.6104, 0.1030, 0.0040)
Hg (0.6104, 0.6063, 0.5074)
Pb (0.6044, 0.6044, 0.0000)

VASP energy, eV/atom: -3.780
Crystal system: orthorhombic
Formation energy, eV per atom: -0.18
V, Å³/atom: 27.884
Space group: Imm2, No. 44

=====

5.
Below is a relaxed structure of CsNaSiAs2, with properties calculated at the PBE-GGA level.

Cell: 8.2270 8.2270 7.1090 Å, 90.00 90.00 135.07°
Positions (direct):
Cs (0.2500, 0.7500, 0.7726)
Cs (0.7500, 0.2500, 0.2274)
Na (0.0000, 0.0000, 0.5000)
Na (0.5000, 0.5000, 0.5000)
Si (0.2500, 0.2500, 0.0000)
Si (0.7500, 0.7500, 0.0000)
As (0.0929, 0.9071, 0.1628)
As (0.4071, 0.5929, 0.1628)
As (0.5929, 0.4071, 0.8372)
As (0.9071, 0.0929, 0.8372)

VASP energy, eV/atom: -3.732
Crystal system: orthorhombic
V, Å³/atom: 33.981
Space group: Cmme, No. 67
Uncorrected formation energy, eV per atom: -0.353

=====

6.
Below is a relaxed structure of TcSe2I, with properties calculated at the PBE-GGA level.

Cell: 4.1510 7.8014 7.8262 Å, 103.47 92.74 97.36°
Positions (direct):
Tc (0.0000, 0.0000, 0.0000)
Tc (0.3500, 0.8189, 0.8674)
Se (0.2676, 0.3185, 0.0851)
Se (0.4885, 0.1096, 0.2347)
Se (0.7064, 0.7521, 0.1051)
Se (0.9685, 0.5396, 0.8999)
I (0.1775, 0.6360, 0.5304)
I (0.6817, 0.0601, 0.7215)

VASP energy, eV/atom: -4.816
Crystal system: triclinic
V, Å³/atom: 30.455
Relative energy among the computed polymorphs, meV/atom: 114
Space group: P1, No. 1
Uncorrected formation energy, eV per atom: -0.095

=====

7.
Below is a relaxed structure of Be2MoSe, with properties calculated at the PBE-GGA level.

Cell: 2.6658 2.6658 8.4051 Å, 90.00 90.00 90.00°
Positions (direct):
Be (0.0000, 0.0000, 0.2043)
Be (0.0000, 0.0000, 0.7957)
Mo (0.5000, 0.5000, 0.0000)
Se (0.5000, 0.5000, 0.5000)

VASP energy, eV/atom: -5.014
Crystal system: tetragonal
V, Å³/atom: 14.933
Space group: P4/mmm, No. 123
Uncorrected formation energy, eV per atom: 0.428

=====

8.
Below is a relaxed structure of LiZrTiS4, with properties calculated at the PBE-GGA level.

Cell: 7.3592 7.3592 7.3592 Å, 121.29 118.44 90.25°
Positions (direct):
Li (0.3858, 0.1358, 0.2500)
Li (0.6142, 0.8642, 0.7500)
Zr (0.0000, 0.5000, 0.5000)
Zr (0.5000, 0.5000, 0.0000)
Ti (0.0000, 0.0000, 0.5000)
Ti (0.0000, 0.5000, 0.0000)
S (0.2243, 0.7480, 0.4763)
S (0.2283, 0.2520, 0.9763)
S (0.2395, 0.2445, 0.5050)
S (0.2395, 0.7345, 0.9950)
S (0.7605, 0.2655, 0.0050)
S (0.7605, 0.7555, 0.4950)
S (0.7717, 0.7480, 0.0237)
S (0.7757, 0.2520, 0.5237)

VASP energy, eV/atom: -6.428
Crystal system: orthorhombic
V, Å³/atom: 20.155
Space group: Imma, No. 74
Uncorrected formation energy, eV per atom: -1.447